LiSmPaRu | PBE-GGA | relaxed

Results
total magnetization: 0.00 μB per cell
density of states at the Fermi level: 1.196 states/eV/atom
total DFT energy (no corrections): -6.35 eV/atom
space group: F-43m, No. 216
energy relative to the elements: 0.006 eV per formula unit

Cell lengths 4.936, 4.936, 4.936 Å; angles 60.00, 60.00, 60.00 degrees
Element x y z (fractional)
1 Li 0.000 0.000 0.000
2 Sm 0.750 0.750 0.750
3 Pa 0.250 0.250 0.250
4 Ru 0.500 0.500 0.500